A plane-wave DFT calculation with PBE was carried out for a relaxed NbRu2ClF crystal.

Structure (extended XYZ):
```
5
Lattice="4.007 0.000 0.000 0.000 4.007 0.000 0.000 0.000 4.862" Properties=species:S:1:pos:R:3 pbc="T T T"
Nb 0.000 0.000 0.000
Ru 0.000 2.003 2.431
Ru 2.003 0.000 2.431
Cl 2.003 2.003 0.000
F 2.003 2.003 2.431
```

Summary:
- Raw formation energy: 0.68 eV per atom